Entry from Alexandria via LeMat-Bulk: an optimized crystal structure of HgGe2Te4 (PBE-GGA).

For the formation energy from raw total energies, the calculation gives 0.002 eV/atom.

The space group is P-42m (No. 111) and the conventional cell measures 6.485, 6.485 and 5.843 Å, with angles of 90.00, 90.00 and 90.00 degrees. The inequivalent atoms are Hg at (0.000, 0.000, 0.000), Ge at (0.000, 0.500, 0.500) and Te at (0.274, 0.274, 0.241).